Density functional theory data (PBE-GGA) for a relaxed CaCoBr5 crystal.

a b c (Å): 7.5470 7.5470 10.6222
angles (deg): 68.96 68.96 86.87
Each line ends with the local moment (μB).
Fractional positions:
Br 0.7296 0.6517 0.1701  0.23
Br 0.2562 0.6963 0.4474  0.22
Br 0.3037 0.7438 0.0526  0.22
Br 0.2704 0.3483 0.8299  0.23
Br 0.9103 0.0897 0.2500  0.05
Br 0.7438 0.3037 0.5526  0.22
Br 0.0897 0.9103 0.7500  0.05
Br 0.3483 0.2704 0.3299  0.23
Br 0.6517 0.7296 0.6701  0.23
Br 0.6963 0.2562 0.9474  0.22
Co 0.6017 0.3983 0.7500  2.57
Co 0.3983 0.6017 0.2500  2.57
Ca 0.0000 0.0000 0.5000  0.01
Ca 0.0000 0.0000 0.0000  0.01

## Properties
As for the uncorrected formation energy: -0.945 eV/atom. The magnetic moment is 8.0 μB/cell. The space group is No. 15.


Density functional theory data (PBE-GGA) for a relaxed Ca2CoBr crystal.

a b c (Å): 6.7448 6.7448 6.7448
angles (deg): 144.19 144.19 51.54
Each line ends with the local moment (μB).
Fractional positions:
Ca 0.2500 0.7500 0.5000  -0.07
Ca 0.0000 0.0000 0.0000  -0.08
Co 0.5000 0.5000 0.0000  1.34
Br 0.7500 0.2500 0.5000  0.00

## Properties
As for the uncorrected formation energy: -0.109 eV/atom. The energy above the most stable polymorph in this dataset is 0.356 eV per atom. The magnetic moment is 0.8 μB/cell. The space group is No. 119.